BC | Alexandria via LeMat-Bulk | PBE-GGA | optimized geometry; formation energy = 0.408 eV per atom; energy relative to the lowest polymorph listed for this composition = 24.80 kJ per mole of atoms; symmetry = No. 1; energy = -0.5544 Ry/atom
1.0
-3.308 2.819 -1.455
-3.877 1.548 1.871
3.570 3.584 1.949
C B
6 6
Cartesian
1.027 5.100 1.058
-3.532 3.896 0.873
-2.735 2.763 1.503
-4.341 3.468 -0.350
-1.209 4.723 2.542
-1.886 5.980 1.916
-1.908 1.821 0.506
-3.873 1.553 1.859
-0.463 3.160 0.115
-1.902 3.316 2.720
-0.154 4.148 1.481
-2.786 5.350 0.653